[1]
# PBE Al2AgAu2, relaxed
data_Al2AgAu2
_cell_length_a 6.327
_cell_length_b 6.327
_cell_length_c 6.327
_cell_angle_alpha 141.44
_cell_angle_beta 141.44
_cell_angle_gamma 55.67
_symmetry_space_group_name_H-M 'P 1'
_symmetry_Int_Tables_number 1
_symmetry_space_group_name_Hall 'P 1'
loop_
_atom_site_label
_atom_site_type_symbol
_atom_site_fract_x
_atom_site_fract_y
_atom_site_fract_z
Al1 Al 0.112 0.112 0.000
Al2 Al 0.888 0.888 0.000
Ag1 Ag 0.500 0.500 0.000
Au1 Au 0.250 0.750 0.500
Au2 Au 0.750 0.250 0.500
# Total moment = 0.000 μB per formula unit
# Energy above the most stable polymorph in this dataset = 0.2142 eV/atom
# Energy of formation from the pure elements = -0.031 eV per atom


[2]
# PBE AlAg4Au3, relaxed
data_AlAg4Au3
_cell_length_a 10.304
_cell_length_b 10.304
_cell_length_c 10.304
_cell_angle_alpha 163.31
_cell_angle_beta 153.29
_cell_angle_gamma 31.66
_symmetry_space_group_name_H-M 'P 1'
_symmetry_Int_Tables_number 1
_symmetry_space_group_name_Hall 'P 1'
loop_
_atom_site_label
_atom_site_type_symbol
_atom_site_fract_x
_atom_site_fract_y
_atom_site_fract_z
Al1 Al 0.000 0.000 0.000
Ag1 Ag 0.111 0.611 0.500
Ag2 Ag 0.364 0.864 0.500
Ag3 Ag 0.636 0.136 0.500
Ag4 Ag 0.889 0.389 0.500
Au1 Au 0.236 0.236 0.000
Au2 Au 0.500 0.500 0.000
Au3 Au 0.764 0.764 0.000
# Total moment = 0.000 μB per formula unit
# Energy of formation from the pure elements = -0.066 eV per atom


[3]
# PBE AlAgAu2, relaxed
data_AlAgAu2
_cell_length_a 8.903
_cell_length_b 8.903
_cell_length_c 8.903
_cell_angle_alpha 19.74
_cell_angle_beta 19.74
_cell_angle_gamma 19.74
_symmetry_space_group_name_H-M 'P 1'
_symmetry_Int_Tables_number 1
_symmetry_space_group_name_Hall 'P 1'
loop_
_atom_site_label
_atom_site_type_symbol
_atom_site_fract_x
_atom_site_fract_y
_atom_site_fract_z
Al1 Al 0.000 0.000 0.000
Ag1 Ag 0.254 0.254 0.254
Au1 Au 0.498 0.498 0.498
Au2 Au 0.741 0.741 0.741
# Total moment = 0.000 μB per formula unit
# Energy above the most stable polymorph in this dataset = 0.1514 eV/atom
# Energy of formation from the pure elements = -0.086 eV per atom


[4]
# PBE AlAg3Au2, relaxed
data_AlAg3Au2
_cell_length_a 2.874
_cell_length_b 4.576
_cell_length_c 8.049
_cell_angle_alpha 90.00
_cell_angle_beta 90.00
_cell_angle_gamma 90.00
_symmetry_space_group_name_H-M 'P 1'
_symmetry_Int_Tables_number 1
_symmetry_space_group_name_Hall 'P 1'
loop_
_atom_site_label
_atom_site_type_symbol
_atom_site_fract_x
_atom_site_fract_y
_atom_site_fract_z
Al1 Al 0.000 0.000 0.000
Ag1 Ag 0.000 0.000 0.323
Ag2 Ag 0.000 0.500 0.501
Ag3 Ag 0.000 0.500 0.839
Au1 Au 0.500 0.000 0.685
Au2 Au 0.500 0.500 0.155
# Total moment = 0.000 μB per formula unit
# Energy of formation from the pure elements = -0.042 eV per atom


[5]
# PBE AlAg2Au3, relaxed
data_AlAg2Au3
_cell_length_a 4.302
_cell_length_b 6.702
_cell_length_c 7.654
_cell_angle_alpha 89.58
_cell_angle_beta 89.20
_cell_angle_gamma 71.76
_symmetry_space_group_name_H-M 'P 1'
_symmetry_Int_Tables_number 1
_symmetry_space_group_name_Hall 'P 1'
loop_
_atom_site_label
_atom_site_type_symbol
_atom_site_fract_x
_atom_site_fract_y
_atom_site_fract_z
Al1 Al 0.159 0.184 0.000
Al2 Al 0.841 0.816 0.000
Ag1 Ag 0.169 0.164 0.500
Ag2 Ag 0.500 0.500 0.000
Ag3 Ag 0.500 0.500 0.500
Ag4 Ag 0.831 0.836 0.500
Au1 Au 0.001 0.500 0.756
Au2 Au 0.324 0.847 0.225
Au3 Au 0.327 0.847 0.774
Au4 Au 0.673 0.153 0.226
Au5 Au 0.676 0.153 0.775
Au6 Au 0.999 0.500 0.244
# Total moment = 0.000 μB per formula unit
# Energy of formation from the pure elements = -0.165 eV per atom


[6]
# PBE AlAg2Au2, relaxed
data_AlAg2Au2
_cell_length_a 5.533
_cell_length_b 5.533
_cell_length_c 7.478
_cell_angle_alpha 111.41
_cell_angle_beta 111.41
_cell_angle_gamma 56.46
_symmetry_space_group_name_H-M 'P 1'
_symmetry_Int_Tables_number 1
_symmetry_space_group_name_Hall 'P 1'
loop_
_atom_site_label
_atom_site_type_symbol
_atom_site_fract_x
_atom_site_fract_y
_atom_site_fract_z
Al1 Al 0.148 0.852 0.750
Al2 Al 0.852 0.148 0.250
Ag1 Ag 0.253 0.544 0.049
Ag2 Ag 0.456 0.747 0.451
Ag3 Ag 0.544 0.253 0.549
Ag4 Ag 0.747 0.456 0.951
Au1 Au 0.046 0.331 0.641
Au2 Au 0.331 0.046 0.141
Au3 Au 0.669 0.954 0.859
Au4 Au 0.954 0.669 0.359
# Total moment = 0.000 μB per formula unit
# Energy above the most stable polymorph in this dataset = 0.0000 eV/atom
# Energy of formation from the pure elements = -0.154 eV per atom


[7]
# PBE AlAg2Au, relaxed
data_AlAg2Au
_cell_length_a 3.219
_cell_length_b 3.219
_cell_length_c 6.657
_cell_angle_alpha 90.00
_cell_angle_beta 90.00
_cell_angle_gamma 90.00
_symmetry_space_group_name_H-M 'P 1'
_symmetry_Int_Tables_number 1
_symmetry_space_group_name_Hall 'P 1'
loop_
_atom_site_label
_atom_site_type_symbol
_atom_site_fract_x
_atom_site_fract_y
_atom_site_fract_z
Al1 Al 0.000 0.000 0.000
Ag1 Ag 0.000 0.000 0.491
Ag2 Ag 0.500 0.500 0.759
Au1 Au 0.500 0.500 0.211
# Total moment = 0.000 μB per formula unit
# Energy of formation from the pure elements = -0.138 eV per atom


[8]
# PBE Al2Ag6Au, relaxed
data_Al2Ag6Au
_cell_length_a 6.073
_cell_length_b 6.073
_cell_length_c 5.607
_cell_angle_alpha 97.22
_cell_angle_beta 97.22
_cell_angle_gamma 54.80
_symmetry_space_group_name_H-M 'P 1'
_symmetry_Int_Tables_number 1
_symmetry_space_group_name_Hall 'P 1'
loop_
_atom_site_label
_atom_site_type_symbol
_atom_site_fract_x
_atom_site_fract_y
_atom_site_fract_z
Al1 Al 0.092 0.092 0.377
Al2 Al 0.908 0.908 0.623
Ag1 Ag 0.031 0.532 0.251
Ag2 Ag 0.258 0.742 0.000
Ag3 Ag 0.468 0.969 0.749
Ag4 Ag 0.532 0.031 0.251
Ag5 Ag 0.742 0.258 0.000
Ag6 Ag 0.969 0.468 0.749
Au1 Au 0.500 0.500 0.500
# Total moment = 0.000 μB per formula unit
# Energy of formation from the pure elements = 0.094 eV per atom


[9]
# PBE Al3AgAu3, relaxed
data_Al3AgAu3
_cell_length_a 7.026
_cell_length_b 7.026
_cell_length_c 7.026
_cell_angle_alpha 90.00
_cell_angle_beta 90.00
_cell_angle_gamma 90.00
_symmetry_space_group_name_H-M 'P 1'
_symmetry_Int_Tables_number 1
_symmetry_space_group_name_Hall 'P 1'
loop_
_atom_site_label
_atom_site_type_symbol
_atom_site_fract_x
_atom_site_fract_y
_atom_site_fract_z
Al1 Al 0.000 0.250 0.500
Al2 Al 0.000 0.750 0.500
Al3 Al 0.250 0.500 0.000
Al4 Al 0.500 0.000 0.250
Al5 Al 0.500 0.000 0.750
Al6 Al 0.750 0.500 0.000
Ag1 Ag 0.000 0.000 0.000
Ag2 Ag 0.500 0.500 0.500
Au1 Au 0.000 0.500 0.250
Au2 Au 0.000 0.500 0.750
Au3 Au 0.250 0.000 0.500
Au4 Au 0.500 0.250 0.000
Au5 Au 0.500 0.750 0.000
Au6 Au 0.750 0.000 0.500
# Total moment = 0.000 μB per formula unit
# Energy of formation from the pure elements = 0.133 eV per atom


[10]
# PBE AlAgAu, relaxed
data_AlAgAu
_cell_length_a 4.481
_cell_length_b 4.481
_cell_length_c 3.000
_cell_angle_alpha 90.00
_cell_angle_beta 90.00
_cell_angle_gamma 120.00
_symmetry_space_group_name_H-M 'P 1'
_symmetry_Int_Tables_number 1
_symmetry_space_group_name_Hall 'P 1'
loop_
_atom_site_label
_atom_site_type_symbol
_atom_site_fract_x
_atom_site_fract_y
_atom_site_fract_z
Al1 Al 0.000 0.000 0.000
Ag1 Ag 0.333 0.667 0.495
Au1 Au 0.667 0.333 0.995
# Total moment = 0.000 μB per formula unit
# Energy above the most stable polymorph in this dataset = 0.0465 eV/atom
# Energy of formation from the pure elements = -0.175 eV per atom


[11]
# PBE AlAg2Au, relaxed
data_AlAg2Au
_cell_length_a 5.093
_cell_length_b 5.093
_cell_length_c 5.093
_cell_angle_alpha 136.36
_cell_angle_beta 129.70
_cell_angle_gamma 68.75
_symmetry_space_group_name_H-M 'P 1'
_symmetry_Int_Tables_number 1
_symmetry_space_group_name_Hall 'P 1'
loop_
_atom_site_label
_atom_site_type_symbol
_atom_site_fract_x
_atom_site_fract_y
_atom_site_fract_z
Al1 Al 0.000 0.000 0.000
Ag1 Ag 0.490 0.490 0.000
Ag2 Ag 0.757 0.257 0.500
Au1 Au 0.224 0.724 0.500
# Total moment = 0.000 μB per formula unit
# Energy of formation from the pure elements = -0.137 eV per atom


[12]
# PBE Al2AgAu2, relaxed
data_Al2AgAu2
_cell_length_a 7.541
_cell_length_b 7.541
_cell_length_c 3.056
_cell_angle_alpha 90.00
_cell_angle_beta 90.00
_cell_angle_gamma 90.00
_symmetry_space_group_name_H-M 'P 1'
_symmetry_Int_Tables_number 1
_symmetry_space_group_name_Hall 'P 1'
loop_
_atom_site_label
_atom_site_type_symbol
_atom_site_fract_x
_atom_site_fract_y
_atom_site_fract_z
Al1 Al 0.161 0.339 0.000
Al2 Al 0.339 0.839 0.000
Al3 Al 0.661 0.161 0.000
Al4 Al 0.839 0.661 0.000
Ag1 Ag 0.000 0.000 0.500
Ag2 Ag 0.500 0.500 0.500
Au1 Au 0.139 0.639 0.500
Au2 Au 0.361 0.139 0.500
Au3 Au 0.639 0.861 0.500
Au4 Au 0.861 0.361 0.500
# Total moment = 0.000 μB per formula unit
# Energy above the most stable polymorph in this dataset = 0.0209 eV/atom
# Energy of formation from the pure elements = -0.224 eV per atom


[13]
# PBE AlAg6Au, relaxed
data_AlAg6Au
_cell_length_a 5.247
_cell_length_b 5.261
_cell_length_c 5.364
_cell_angle_alpha 94.35
_cell_angle_beta 91.70
_cell_angle_gamma 94.42
_symmetry_space_group_name_H-M 'P 1'
_symmetry_Int_Tables_number 1
_symmetry_space_group_name_Hall 'P 1'
loop_
_atom_site_label
_atom_site_type_symbol
_atom_site_fract_x
_atom_site_fract_y
_atom_site_fract_z
Al1 Al 0.000 0.000 0.000
Ag1 Ag 0.024 0.450 0.748
Ag2 Ag 0.248 0.967 0.566
Ag3 Ag 0.446 0.749 0.032
Ag4 Ag 0.554 0.251 0.968
Ag5 Ag 0.752 0.033 0.434
Ag6 Ag 0.976 0.550 0.252
Au1 Au 0.500 0.500 0.500
# Total moment = 0.000 μB per formula unit
# Energy of formation from the pure elements = 0.052 eV per atom